Entry 1:
YHfIr: optimized geometry, GGA-PBE.

Results
**SG**: P2_1/m (11)
**Offset from the most stable computed form**: 146 meV per atom
**Crystal system**: monoclinic
**Total moment**: 0.00 μB per atom
**Raw total energy**: -9.01 eV per atom
**Energy of formation from the pure elements**: -0.583 eV per atom

abc: 5.326 4.894 5.797
angles: 90.00 105.64 90.00
Element x y z (fractional)
Y 0.216 0.250 0.416
Y 0.784 0.750 0.584
Hf 0.335 0.750 0.016
Hf 0.665 0.250 0.984
Ir 0.141 0.250 0.892
Ir 0.859 0.750 0.108


Entry 2:
Tb6BiSb5: optimized geometry, GGA-PBE.

Results
**Formation energy from raw total energies**: -1.103 eV per atom
**SG**: C2/m (12)
**Crystal system**: monoclinic
**Total moment**: 0.00 μB per atom
**Raw total energy**: -5.46 eV per atom

abc: 7.650 7.650 7.644
angles: 99.58 99.58 120.00
Element x y z (fractional)
Tb 0.079 0.416 0.748
Tb 0.246 0.246 0.251
Tb 0.416 0.079 0.748
Tb 0.584 0.921 0.252
Tb 0.754 0.754 0.749
Tb 0.921 0.584 0.252
Bi 0.500 0.500 0.000
Sb 0.000 0.000 0.500
Sb 0.167 0.833 0.000
Sb 0.335 0.665 0.500
Sb 0.665 0.335 0.500
Sb 0.833 0.167 0.000


Entry 3:
PmAl4Ag: optimized geometry, GGA-PBE.

Results
**SG**: F-43m (216)
**Offset from the most stable computed form**: 96 meV per atom
**Crystal system**: cubic
**Total moment**: 0.00 μB per atom
**Raw total energy**: -3.92 eV per atom
**Energy of formation from the pure elements**: -0.154 eV per atom

abc: 5.532 5.532 5.532
angles: 60.00 60.00 60.00
Element x y z (fractional)
Pm 0.000 0.000 0.000
Al 0.374 0.374 0.374
Al 0.374 0.374 0.878
Al 0.374 0.878 0.374
Al 0.878 0.374 0.374
Ag 0.750 0.750 0.750


Entry 4:
TmPuSiHg: optimized geometry, GGA-PBE.

Results
**Formation energy from raw total energies**: -0.295 eV per atom
**SG**: F-43m (216)
**Crystal system**: cubic
**Total moment**: 1.59 μB per atom
**Raw total energy**: -6.43 eV per atom

abc: 5.102 5.102 5.102
angles: 60.00 60.00 60.00
Element x y z (fractional)
Tm 0.000 0.000 0.000
Pu 0.500 0.500 0.500
Si 0.250 0.250 0.250
Hg 0.750 0.750 0.750


Copy entry 4 word for word.
TmPuSiHg: optimized geometry, GGA-PBE.

Results
**Formation energy from raw total energies**: -0.295 eV per atom
**SG**: F-43m (216)
**Crystal system**: cubic
**Total moment**: 1.59 μB per atom
**Raw total energy**: -6.43 eV per atom

abc: 5.102 5.102 5.102
angles: 60.00 60.00 60.00
Element x y z (fractional)
Tm 0.000 0.000 0.000
Pu 0.500 0.500 0.500
Si 0.250 0.250 0.250
Hg 0.750 0.750 0.750


Please write out number 4 again, unchanged.
TmPuSiHg: optimized geometry, GGA-PBE.

Results
**Formation energy from raw total energies**: -0.295 eV per atom
**SG**: F-43m (216)
**Crystal system**: cubic
**Total moment**: 1.59 μB per atom
**Raw total energy**: -6.43 eV per atom

abc: 5.102 5.102 5.102
angles: 60.00 60.00 60.00
Element x y z (fractional)
Tm 0.000 0.000 0.000
Pu 0.500 0.500 0.500
Si 0.250 0.250 0.250
Hg 0.750 0.750 0.750